Record 1
GGA-PBE TlAgPb, optimized geometry; size of the total moment = 0.00 μB/cell; symmetry = P-1, No. 2; energy = -17.379 eV per cell
1.0
4.6169 0.0000 0.0000
0.0042 5.8199 0.0000
2.2844 0.8796 6.0997
Tl Ag Pb
2 2 2
Cartesian
1.1475 1.9245 2.2389
5.7580 4.7749 3.8608
3.4435 4.6300 5.8552
3.4620 2.0695 0.2445
3.4430 1.6127 4.8099
3.4626 5.0868 1.2898

Record 2
GGA-PBE Sm2Zn3Sn, optimized geometry; size of the total moment = 0.00 μB/cell; excess energy over the best structure of this formula in the dataset = 0.000 eV/atom; symmetry = Fmmm, No. 69; energy = -40.441 eV per cell
1.0
0.0000 4.5850 7.9378
3.7378 0.0000 7.9378
3.7378 4.5850 0.0000
Sm Zn Sn
4 6 2
Cartesian
5.6623 4.5850 7.9378
1.8689 2.2925 3.9689
5.6067 6.8775 11.9068
1.8133 4.5850 7.9378
3.7378 4.5850 2.5634
3.7378 2.2373 6.6708
3.7378 2.2373 9.2048
3.7378 6.9326 6.6708
3.7378 6.9326 9.2048
3.7378 4.5850 13.3123
3.7378 4.5850 5.3087
3.7378 4.5850 10.5670

Record 3
GGA-PBE Zr2BeAg, optimized geometry; size of the total moment = 2.93 μB/cell; symmetry = F-43m, No. 216; energy = -22.002 eV per cell
1.0
0.0000 3.3570 3.3570
3.3570 0.0000 3.3570
3.3570 3.3570 0.0000
Zr Be Ag
2 1 1
Cartesian
0.0000 0.0000 0.0000
1.6785 1.6785 1.6785
5.0355 5.0355 5.0355
3.3570 3.3570 3.3570

Record 4
GGA-PBE PaTl2Zn, optimized geometry; size of the total moment = 0.83 μB/cell; symmetry = P4/mmm, No. 123; energy = -14.981 eV per cell
1.0
4.5994 0.0000 0.0000
0.0000 4.5994 0.0000
0.0000 0.0000 4.6208
Pa Tl Zn
1 2 1
Cartesian
0.0000 0.0000 0.0000
0.0000 2.2997 2.3104
2.2997 0.0000 2.3104
2.2997 2.2997 0.0000

Record 5
GGA-PBE Pu2Ge4Pd3, optimized geometry; size of the total moment = 21.60 μB/cell; symmetry = Cmce, No. 64; energy = -135.581 eV per cell
1.0
2.8964 -7.5711 0.0000
2.8964 7.5711 0.0000
0.0000 0.0000 7.5945
Pu Ge Pd
4 8 6
Cartesian
2.8964 5.9944 6.9024
2.8964 1.5767 3.1052
2.8964 -1.5767 4.4893
2.8964 -5.9944 0.6920
2.8964 4.8426 3.9993
1.4482 0.8907 5.6959
1.4482 -0.8907 1.8986
2.8964 2.7284 0.2021
2.8964 -2.7284 7.3924
4.3446 0.8907 5.6959
4.3446 -0.8907 1.8986
2.8964 -4.8426 3.5951
0.0000 0.0000 3.7972
1.4482 3.4275 5.6959
1.4482 -3.4275 1.8986
2.8964 0.0000 0.0000
4.3446 3.4275 5.6959
4.3446 -3.4275 1.8986

Record 6
GGA-PBE AcLu5, optimized geometry; size of the total moment = 0.06 μB/cell; symmetry = Cmmm, No. 65; energy = -26.004 eV per cell
1.0
2.8524 -8.6467 0.0000
2.8524 8.6467 0.0000
0.0000 0.0000 3.8754
Ac Lu
1 5
Cartesian
0.0000 0.0000 0.0000
2.8524 5.4781 1.9377
2.8524 2.7163 0.0000
2.8524 0.0000 1.9377
2.8524 -2.7163 0.0000
2.8524 -5.4781 1.9377

Record 7
GGA-PBE SrCa2F, optimized geometry; size of the total moment = 0.00 μB/cell; excess energy over the best structure of this formula in the dataset = 1.074 eV/atom; symmetry = Fm-3m, No. 225; energy = -8.874 eV per cell; raw formation energy = -329 meV/atom
1.0
0.0000 4.3334 4.3334
4.3334 0.0000 4.3334
4.3334 4.3334 0.0000
Sr Ca F
1 2 1
Cartesian
0.0000 0.0000 0.0000
2.1667 2.1667 2.1667
6.5000 6.5000 6.5000
4.3334 4.3334 4.3334

Record 8
GGA-PBE CsCaTlSiSe, optimized geometry; size of the total moment = 0.00 μB/cell; excess energy over the best structure of this formula in the dataset = 0.162 eV/atom; symmetry = P1, No. 1; energy = -16.633 eV per cell; raw formation energy = -501 meV/atom
1.0
4.2253 0.0000 0.0000
0.8081 4.1557 0.0000
0.5260 0.4836 9.4619
Cs Ca Tl Si Se
1 1 1 1 1
Cartesian
0.0000 0.0000 0.0000
4.2044 3.4750 3.7781
3.0296 2.5491 6.6639
1.3049 1.0865 5.0996
2.0175 1.6694 2.6318

Q: Which value of size of the total moment does entry 2 give?
A: 0.00 μB/cell